(A)
A plane-wave DFT calculation with GGA-PBEsol was carried out for an optimized crystal structure of LiFeTc2.

Unit cell a=2.561 b=4.172 c=4.514 alpha=90.00 beta=89.99 gamma=90.00
Fractional coordinates of all 4 atoms:
Fe 0.375 0.000 0.472
Li 0.375 0.500 0.783
Tc 0.875 0.000 0.955
Tc 0.875 0.500 0.289

Output
spin magnetization = 0.00 μB/cell

---

(B)
A plane-wave DFT calculation with GGA-PBEsol was carried out for an optimized crystal structure of LiFeTc2.

Unit cell a=3.580 b=3.580 c=4.618 alpha=112.81 beta=112.81 gamma=90.00
Last column: magnetic moment on the atom in μB.
Fractional coordinates of all 4 atoms:
Fe 0.000 0.000 0.000  1.90
Li 0.500 0.500 0.000  -0.01
Tc 0.750 0.250 0.500  -0.03
Tc 0.250 0.750 0.500  -0.03

Output
spin magnetization = 1.86 μB/cell

---

What should be chosen as the most stable of them? Choose (A).

---

(A)
A plane-wave DFT calculation with GGA-PBEsol was carried out for an optimized crystal structure of LiFeW.

Unit cell a=2.600 b=2.600 c=6.733 alpha=97.30 beta=97.30 gamma=110.01
Last column: magnetic moment on the atom in μB.
Fractional coordinates of all 3 atoms:
Fe 0.004 0.004 0.008  2.02
Li 0.340 0.340 0.681  -0.01
W 0.656 0.656 0.311  -0.16

Output
spin magnetization = 1.78 μB/cell

---

(B)
A plane-wave DFT calculation with GGA-PBEsol was carried out for an optimized crystal structure of LiFeW.

Unit cell a=3.745 b=3.745 c=3.745 alpha=60.00 beta=60.00 gamma=60.00
Fractional coordinates of all 3 atoms:
Fe 0.500 0.500 0.500
Li 0.250 0.250 0.250
W 0.000 0.000 0.000

Output
spin magnetization = 0.00 μB/cell

---

What should be chosen as the most stable of them? Choose (A).

---

(A)
A plane-wave DFT calculation with GGA-PBEsol was carried out for an optimized crystal structure of LiZrFe.

Unit cell a=4.154 b=4.154 c=4.154 alpha=60.00 beta=60.00 gamma=60.00
Last column: magnetic moment on the atom in μB.
Fractional coordinates of all 3 atoms:
Fe 0.250 0.250 0.250  0.85
Li 0.000 0.000 0.000  -0.01
Zr 0.500 0.500 0.500  -0.15

Output
spin magnetization = 0.68 μB/cell

---

(B)
A plane-wave DFT calculation with GGA-PBEsol was carried out for an optimized crystal structure of LiZrFe.

Unit cell a=2.803 b=2.803 c=7.296 alpha=90.00 beta=90.00 gamma=120.00
Last column: magnetic moment on the atom in μB.
Fractional coordinates of all 3 atoms:
Fe 0.000 0.000 0.992  2.54
Li 0.333 0.667 0.694  -0.02
Zr 0.667 0.333 0.315  -0.05

Output
spin magnetization = 2.33 μB/cell

---

What should be chosen as the most stable of them? Choose (B).

---

(A)
A plane-wave DFT calculation with GGA-PBEsol was carried out for an optimized crystal structure of Mg5Fe.

Unit cell a=4.273 b=4.286 c=6.661 alpha=90.00 beta=108.71 gamma=90.00
Last column: magnetic moment on the atom in μB.
Fractional coordinates of all 6 atoms:
Fe 0.500 0.000 0.000  2.33
Mg 0.344 0.500 0.689  -0.02
Mg 0.156 0.000 0.312  -0.01
Mg 0.000 0.500 0.000  -0.02
Mg 0.844 0.000 0.688  -0.01
Mg 0.656 0.500 0.311  -0.02

Output
spin magnetization = 2.06 μB/cell

---

(B)
A plane-wave DFT calculation with GGA-PBEsol was carried out for an optimized crystal structure of Mg5Fe.

Unit cell a=5.014 b=5.543 c=5.543 alpha=120.00 beta=90.00 gamma=90.00
Last column: magnetic moment on the atom in μB.
Fractional coordinates of all 6 atoms:
Fe 0.000 0.000 0.000  3.05
Mg 0.000 0.667 0.333  -0.01
Mg 0.000 0.333 0.667  -0.01
Mg 0.500 0.500 0.500  -0.01
Mg 0.500 0.000 0.500  -0.01
Mg 0.500 0.500 0.000  -0.01

Output
spin magnetization = 2.76 μB/cell

---

What should be chosen as the most stable of them? Choose (A).

---

(A)
A plane-wave DFT calculation with GGA-PBEsol was carried out for an optimized crystal structure of MgMnFe.

Unit cell a=3.891 b=3.891 c=3.891 alpha=60.00 beta=60.00 gamma=60.00
Last column: magnetic moment on the atom in μB.
Fractional coordinates of all 3 atoms:
Fe 0.250 0.250 0.250  0.46
Mg 0.000 0.000 0.000  0.00
Mn 0.500 0.500 0.500  -0.14

Output
spin magnetization = 0.33 μB/cell

---

(B)
A plane-wave DFT calculation with GGA-PBEsol was carried out for an optimized crystal structure of MgMnFe.

Unit cell a=2.634 b=2.634 c=6.382 alpha=90.00 beta=90.00 gamma=120.00
Last column: magnetic moment on the atom in μB.
Fractional coordinates of all 3 atoms:
Fe 0.000 0.000 0.027  1.54
Mg 0.667 0.333 0.669  0.00
Mn 0.333 0.667 0.305  -1.10

Output
spin magnetization = 0.41 μB/cell

---

What should be chosen as the most stable of them? Choose (B).

---

(A)
A plane-wave DFT calculation with GGA-PBEsol was carried out for an optimized crystal structure of Mg2FeMo.

Unit cell a=2.955 b=2.955 c=7.335 alpha=90.00 beta=90.00 gamma=90.00
Fractional coordinates of all 4 atoms:
Fe 0.500 0.500 0.720
Mg 0.000 0.000 0.955
Mg 0.500 0.500 0.277
Mo 0.000 0.000 0.548

Output
spin magnetization = 0.00 μB/cell

---

(B)
A plane-wave DFT calculation with GGA-PBEsol was carried out for an optimized crystal structure of Mg2FeMo.

Unit cell a=4.343 b=4.343 c=4.343 alpha=60.00 beta=60.00 gamma=60.00
Fractional coordinates of all 4 atoms:
Fe 0.250 0.250 0.250
Mg 0.000 0.000 0.000
Mg 0.750 0.750 0.750
Mo 0.500 0.500 0.500

Output
spin magnetization = 0.00 μB/cell

---

What should be chosen as the most stable of them? Choose (A).

---

(A)
A plane-wave DFT calculation with GGA-PBEsol was carried out for an optimized crystal structure of Mg4FeO5.

Unit cell a=2.976 b=4.207 c=7.953 alpha=105.34 beta=100.78 gamma=90.00
Last column: magnetic moment on the atom in μB.
Fractional coordinates of all 10 atoms:
Mg 0.400 0.900 0.799  0.00
Mg 0.600 0.100 0.201  0.00
Mg 0.799 0.299 0.598  0.01
Mg 0.201 0.701 0.402  0.01
Fe 0.000 0.500 0.000  3.54
O 0.000 0.000 0.000  0.12
O 0.200 0.200 0.399  0.01
O 0.800 0.800 0.601  0.01
O 0.604 0.604 0.208  0.11
O 0.396 0.396 0.792  0.11

Output
spin magnetization = 4.00 μB/cell

---

(B)
A plane-wave DFT calculation with GGA-PBEsol was carried out for an optimized crystal structure of Mg4FeO5.

Unit cell a=2.972 b=2.972 c=12.396 alpha=83.11 beta=83.11 gamma=60.00
Last column: magnetic moment on the atom in μB.
Fractional coordinates of all 10 atoms:
Mg 0.599 0.599 0.202  0.01
Mg 0.401 0.401 0.798  0.01
Mg 0.200 0.200 0.401  0.00
Mg 0.800 0.800 0.599  0.00
Fe 0.000 0.000 0.000  3.55
O 0.500 0.500 0.500  0.00
O 0.702 0.702 0.894  0.17
O 0.298 0.298 0.106  0.17
O 0.100 0.100 0.699  0.01
O 0.900 0.900 0.301  0.01

Output
spin magnetization = 4.00 μB/cell

---

What should be chosen as the most stable of them? Choose (B).

---

(A)
A plane-wave DFT calculation with GGA-PBEsol was carried out for an optimized crystal structure of MgFe2Re.

Unit cell a=2.759 b=4.303 c=5.059 alpha=115.17 beta=105.82 gamma=90.00
Last column: magnetic moment on the atom in μB.
Fractional coordinates of all 4 atoms:
Fe 0.993 0.993 0.987  1.50
Fe 0.272 0.772 0.544  1.83
Mg 0.507 0.507 0.013  -0.02
Re 0.728 0.228 0.457  -0.13

Output
spin magnetization = 3.10 μB/cell

---

(B)
A plane-wave DFT calculation with GGA-PBEsol was carried out for an optimized crystal structure of MgFe2Re.

Unit cell a=3.107 b=4.247 c=4.705 alpha=116.83 beta=109.28 gamma=90.00
Last column: magnetic moment on the atom in μB.
Fractional coordinates of all 4 atoms:
Fe 0.761 0.761 0.522  1.38
Fe 0.239 0.239 0.478  1.38
Mg 0.000 0.500 0.000  -0.01
Re 0.500 0.000 0.000  -0.24

Output
spin magnetization = 2.42 μB/cell

---

(C)
A plane-wave DFT calculation with GGA-PBEsol was carried out for an optimized crystal structure of MgFe2Re.

Unit cell a=2.696 b=2.696 c=8.764 alpha=81.15 beta=81.15 gamma=60.00
Last column: magnetic moment on the atom in μB.
Fractional coordinates of all 4 atoms:
Fe 0.254 0.254 0.238  2.04
Fe 0.746 0.746 0.762  2.04
Mg 0.500 0.500 0.500  -0.01
Re 0.000 0.000 0.000  -0.15

Output
spin magnetization = 3.89 μB/cell

---

What should be chosen as the most stable of them? Choose (A).

---

(A)
A plane-wave DFT calculation with GGA-PBEsol was carried out for an optimized crystal structure of MgFeRe2.

Unit cell a=2.602 b=4.936 c=4.936 alpha=116.65 beta=90.00 gamma=90.00
Last column: magnetic moment on the atom in μB.
Fractional coordinates of all 4 atoms:
Fe 0.500 0.000 0.000  2.15
Mg 0.500 0.500 0.500  -0.01
Re 0.000 0.500 0.000  0.01
Re 0.000 0.000 0.500  0.01

Output
spin magnetization = 2.15 μB/cell

---

(B)
A plane-wave DFT calculation with GGA-PBEsol was carried out for an optimized crystal structure of MgFeRe2.

Unit cell a=3.015 b=3.015 c=6.405 alpha=90.00 beta=90.00 gamma=90.00
Last column: magnetic moment on the atom in μB.
Fractional coordinates of all 4 atoms:
Fe 0.500 0.500 0.000  1.98
Mg 0.500 0.500 0.500  0.00
Re 0.000 0.000 0.796  0.03
Re 0.000 0.000 0.204  0.03

Output
spin magnetization = 2.06 μB/cell

---

What should be chosen as the most stable of them? Choose (B).

---

(A)
A plane-wave DFT calculation with GGA-PBEsol was carried out for an optimized crystal structure of Mg2FeRu.

Unit cell a=4.379 b=4.379 c=4.379 alpha=60.00 beta=60.00 gamma=60.00
Last column: magnetic moment on the atom in μB.
Fractional coordinates of all 4 atoms:
Fe 0.000 0.000 0.000  2.67
Mg 0.250 0.250 0.250  -0.02
Mg 0.750 0.750 0.750  -0.02
Ru 0.500 0.500 0.500  0.52

Output
spin magnetization = 3.15 μB/cell

---

(B)
A plane-wave DFT calculation with GGA-PBEsol was carried out for an optimized crystal structure of Mg2FeRu.

Unit cell a=2.956 b=2.956 c=7.237 alpha=90.00 beta=90.00 gamma=90.00
Last column: magnetic moment on the atom in μB.
Fractional coordinates of all 4 atoms:
Ru 0.000 0.000 0.541  0.19
Mg 0.000 0.000 0.953  -0.02
Mg 0.500 0.500 0.291  0.00
Fe 0.500 0.500 0.714  1.93

Output
spin magnetization = 2.07 μB/cell

---

(C)
A plane-wave DFT calculation with GGA-PBEsol was carried out for an optimized crystal structure of Mg2FeRu.

Unit cell a=3.078 b=4.487 c=5.212 alpha=115.50 beta=107.17 gamma=90.00
Last column: magnetic moment on the atom in μB.
Fractional coordinates of all 4 atoms:
Fe 0.227 0.727 0.453  2.44
Mg 0.986 0.986 0.971  -0.01
Mg 0.764 0.264 0.528  -0.02
Ru 0.524 0.524 0.048  0.53

Output
spin magnetization = 2.87 μB/cell

---

What should be chosen as the most stable of them? Choose (B).

---

(A)
A plane-wave DFT calculation with GGA-PBEsol was carried out for an optimized crystal structure of MgFe2Se.

Unit cell a=3.192 b=3.192 c=5.588 alpha=90.00 beta=90.00 gamma=90.02
Last column: magnetic moment on the atom in μB.
Fractional coordinates of all 4 atoms:
Fe 0.000 0.000 0.214  2.36
Fe 0.000 0.000 0.786  2.36
Mg 0.500 0.500 0.500  -0.03
Se 0.500 0.500 0.000  0.06

Output
spin magnetization = 4.75 μB/cell

---

(B)
A plane-wave DFT calculation with GGA-PBEsol was carried out for an optimized crystal structure of MgFe2Se.

Unit cell a=2.908 b=2.908 c=8.117 alpha=79.68 beta=79.68 gamma=60.00
Last column: magnetic moment on the atom in μB.
Fractional coordinates of all 4 atoms:
Fe 0.259 0.259 0.224  2.18
Fe 0.741 0.741 0.776  2.18
Mg 0.500 0.500 0.500  -0.02
Se 0.000 0.000 0.000  -0.06

Output
spin magnetization = 4.20 μB/cell

---

What should be chosen as the most stable of them? Choose (A).

---

(A)
A plane-wave DFT calculation with GGA-PBEsol was carried out for an optimized crystal structure of MgFe2Te.

Unit cell a=3.911 b=3.911 c=4.898 alpha=113.53 beta=113.53 gamma=90.00
Last column: magnetic moment on the atom in μB.
Fractional coordinates of all 4 atoms:
Fe 0.750 0.250 0.500  2.40
Fe 0.250 0.750 0.500  2.40
Mg 0.000 0.000 0.000  -0.03
Te 0.500 0.500 0.000  0.04

Output
spin magnetization = 4.75 μB/cell

---

(B)
A plane-wave DFT calculation with GGA-PBEsol was carried out for an optimized crystal structure of MgFe2Te.

Unit cell a=3.332 b=3.332 c=5.701 alpha=90.00 beta=90.00 gamma=90.00
Last column: magnetic moment on the atom in μB.
Fractional coordinates of all 4 atoms:
Fe 0.000 0.000 0.725  2.23
Fe 0.000 0.000 0.275  2.23
Mg 0.500 0.500 0.000  -0.02
Te 0.500 0.500 0.500  -0.01

Output
spin magnetization = 4.37 μB/cell

---

(C)
A plane-wave DFT calculation with GGA-PBEsol was carried out for an optimized crystal structure of MgFe2Te.

Unit cell a=3.153 b=3.153 c=6.934 alpha=90.00 beta=90.00 gamma=90.00
Last column: magnetic moment on the atom in μB.
Fractional coordinates of all 4 atoms:
Fe 0.000 0.000 0.039  2.21
Fe 0.500 0.500 0.205  2.37
Mg 0.000 0.000 0.435  -0.04
Te 0.500 0.500 0.822  -0.04

Output
spin magnetization = 4.34 μB/cell

---

What should be chosen as the most stable of them? Choose (C).